# PBE-GGA LaBeH3, optimized geometry
# **Energy above the most stable polymorph in this dataset**: 0.0000 eV/atom
# **Density**: 5.21 g/cm3
# **DOS(E_F)**: 0.763 states/eV/atom
data_LaBeH3
_chemical_formula_sum 'La1 Be1 H3'
_cell_length_a 3.638
_cell_length_b 3.638
_cell_length_c 3.638
_cell_angle_alpha 90.00
_cell_angle_beta 90.00
_cell_angle_gamma 90.00
_symmetry_space_group_name_H-M 'P m -3 m'
_symmetry_Int_Tables_number 221
_symmetry_space_group_name_Hall '-P 4 2 3'
loop_
_atom_site_label
_atom_site_type_symbol
_atom_site_fract_x
_atom_site_fract_y
_atom_site_fract_z
La1 La 0.000 0.000 0.000
Be1 Be 0.500 0.500 0.500
H1 H 0.000 0.500 0.500